## Ag2PtCl6 (GGA-PBE)

Data for crystalline Ag2PtCl6 at its relaxed geometry.

* energy relative to the elements, uncorrected: -0.47 eV/atom
* offset from the most stable computed form: 0.000 eV/atom

Cell lengths 6.7250, 6.2916, 12.8302 Å; angles 90.00, 121.57, 90.00 degrees
Last column: nearest neighbours and their distance in Å.
Positions (direct):
Ag: 0.1893 0.0005 0.1884  6 Cl 2.71-2.88
Ag: 0.1893 0.4995 0.6884  6 Cl 2.71-2.88
Ag: 0.8107 0.5005 0.3116  6 Cl 2.71-2.88
Ag: 0.8107 0.9995 0.8116  6 Cl 2.71-2.88
Pt: 0.5000 0.0000 0.0000  6 Cl 2.35-2.36
Pt: 0.5000 0.5000 0.5000  6 Cl 2.35-2.36
Cl: 0.1938 0.7060 0.3448  1 Pt 2.36
Cl: 0.1938 0.7940 0.8448  1 Pt 2.36
Cl: 0.2168 0.2160 0.0011  1 Pt 2.35
Cl: 0.2168 0.2840 0.5011  1 Pt 2.35
Cl: 0.4957 0.7150 0.6500  1 Pt 2.36
Cl: 0.4957 0.7850 0.1500  1 Pt 2.36
Cl: 0.5043 0.2150 0.8500  1 Pt 2.36
Cl: 0.5043 0.2850 0.3500  1 Pt 2.36
Cl: 0.7832 0.7160 0.4989  1 Pt 2.35
Cl: 0.7832 0.7840 0.9989  1 Pt 2.35
Cl: 0.8062 0.2060 0.1552  1 Pt 2.36
Cl: 0.8062 0.2940 0.6552  1 Pt 2.36

=====

## AgPt2Cl (GGA-PBE)

Data for crystalline AgPt2Cl at its relaxed geometry.

* Fermi-level density of states: 1.20 states/eV per atom
* energy relative to the elements, uncorrected: 0.44 eV/atom
* offset from the most stable computed form: 0.310 eV/atom

Cell lengths 2.8701, 2.8701, 8.1770 Å; angles 90.00, 90.00, 90.00 degrees
Last column: nearest neighbours and their distance in Å.
Positions (direct):
Ag: 0.0000 0.0000 0.0000  4 Ag 2.87, 8 Pt 2.88
Pt: 0.5000 0.5000 0.2504  4 Pt 2.87, 4 Cl 2.88, 4 Ag 2.88
Pt: 0.5000 0.5000 0.7496  4 Pt 2.87, 4 Cl 2.88, 4 Ag 2.88
Cl: 0.0000 0.0000 0.5000  4 Cl 2.87, 8 Pt 2.88

=====

| no. | VASP energy (eV for the cell shown) |
| --- | --- |
| 1 | -54.1 |
| 2 | -15.0 |